[1]
{"formula": "Li2CdTc", "functional": "PBE", "state": "relaxed", "total_magnetization_mub_per_fu": 0.00, "total_energy_ev_per_atom": -3.64, "lattice_angstrom": [[-1.8385, 1.1699, 1.5633], [-0.2014, -2.6637, 0.2381], [6.2111, 0.1717, 7.1760]], "species": ["Li", "Li", "Tc", "Cd"], "frac_coords": [[0.0000, 0.0000, 0.4835], [0.0000, 0.0000, 0.0165], [0.5000, 0.5000, 0.2500], [0.5000, 0.5000, 0.7500]]}

***

[2]
{"formula": "Li2CdTc", "functional": "PBE", "state": "relaxed", "total_magnetization_mub_per_fu": 0.00, "total_energy_ev_per_atom": -3.63, "lattice_angstrom": [[2.6538, 0.0000, 0.0000], [0.0000, 2.6538, 0.0000], [0.0000, 0.0000, 9.0344]], "species": ["Li", "Li", "Tc", "Cd"], "frac_coords": [[0.0000, 0.0000, 0.0144], [0.0000, 0.0000, 0.4856], [0.5000, 0.5000, 0.2500], [0.5000, 0.5000, 0.7500]]}